## LaBeAsBr2 (PBE-GGA)

Data for an optimized crystal structure of LaBeAsBr2.

Properties
For the energy above the most stable polymorph in this dataset, the calculation gives 0.00 eV per formula unit. Its density is 5.5 g/cm3. As for the uncorrected formation energy: -0.709 eV per atom.

The structure in CIF format:
```
data_LaBeAsBr2
_symmetry_space_group_name_H-M 'P 4/m m m'
_symmetry_Int_Tables_number 123
_symmetry_space_group_name_Hall '-P 4 2'
_cell_length_a 4.714
_cell_length_b 4.714
_cell_length_c 5.180
_cell_angle_alpha 90.00
_cell_angle_beta 90.00
_cell_angle_gamma 90.00
loop_
_atom_site_label
_atom_site_type_symbol
_atom_site_fract_x
_atom_site_fract_y
_atom_site_fract_z
_atom_site_occupancy
La1 La 0.000 0.000 0.000 1
Be1 Be 0.500 0.500 0.500 1
As1 As 0.500 0.500 0.000 1
Br1 Br 0.000 0.500 0.500 1
```